(1)
A geometry-optimized Rb3TeI6 structure, computed with PBE.

Cell and atoms, written as extended XYZ:
```
10
Lattice="9.0322 0.0000 0.0000 0.0000 9.0322 0.0000 4.5161 4.5161 6.9391" Properties=species:S:1:pos:R:3 pbc="T T T"
Te 0.0000 0.0000 0.0000
I 6.9608 6.9608 0.0000
I 9.0322 9.0322 3.4522
I 4.5161 4.5161 3.4869
I 2.0714 2.0714 0.0000
I 2.0714 6.9608 0.0000
Rb 4.5161 9.0322 3.4696
I 6.9608 2.0714 0.0000
Rb 9.0322 4.5161 3.4696
Rb 4.5161 4.5161 0.0000
```

Properties
Its polymorph energy (0 for the lowest one) is 1.83 kcal/mol of atoms. The density of states at the Fermi level is 0.00 states/eV per atom. For the uncorrected energy, the calculation gives -2.34 eV/atom. The space group is No. 139. As for the formation energy without anion corrections: -0.8038 eV per atom.

(2)
A geometry-optimized Sr3SmEr3S8 structure, computed with PBE.

Cell and atoms, written as extended XYZ:
```
15
Lattice="7.9803 0.0000 0.0000 -3.9901 6.9109 -0.0247 0.0000 -4.5831 6.8540" Properties=species:S:1:pos:R:3 pbc="T T T"
Sr 0.0000 0.0000 0.0000
S 1.9517 3.4479 4.9485
Sm 0.0000 -2.2916 3.4270
S 0.0000 0.0677 4.9605
S 3.9901 2.2601 1.8688
Er 1.9951 1.1639 3.4146
Sr -1.9951 3.4554 -0.0124
Er -1.9951 1.1639 3.4146
Er 3.9901 -2.2916 3.4270
S 5.9418 -1.1202 1.8808
S 0.0000 2.3102 1.8672
S 2.0385 -1.1201 1.8808
S -1.9517 3.4479 4.9485
S 3.9901 0.0175 4.9620
Sr 1.9951 3.4554 -0.0124
```

Properties
The density of states at the Fermi level is 0.32 states/eV per atom. For the uncorrected energy, the calculation gives -5.83 eV/atom. The space group is No. 166. As for the formation energy without anion corrections: -2.0667 eV per atom.

(3)
A geometry-optimized SrMn structure, computed with PBE.

Cell and atoms, written as extended XYZ:
```
4
Lattice="3.7470 0.0000 0.0000 -1.8735 3.2450 0.0000 0.0000 0.0000 9.2523" Properties=species:S:1:pos:R:3 pbc="T T T"
Mn 1.8735 1.0817 1.4031
Mn 0.0000 0.0000 0.9099
Sr 1.8735 1.0817 7.6902
Sr 0.0000 0.0000 3.8751
```

Properties
Its formation energy is 138 kJ/mol of formula units. The density of states at the Fermi level is 1.41 states/eV per atom. For the uncorrected energy, the calculation gives -4.71 eV/atom. The space group is No. 164.

(4)
A geometry-optimized LaMg3O structure, computed with PBE.

Cell and atoms, written as extended XYZ:
```
5
Lattice="-0.9192 2.0592 4.1909 1.9549 -3.7093 2.2513 4.2406 2.1563 -0.1294" Properties=species:S:1:pos:R:3 pbc="T T T"
Mg -0.4596 1.0296 2.0955
Mg 0.9775 -1.8547 1.1257
La 2.6381 0.2531 3.1564
Mg 2.1203 1.0782 -0.0647
O 0.0000 0.0000 0.0000
```

Properties
Its polymorph energy (0 for the lowest one) is 0.00 kcal/mol of atoms. The density of states at the Fermi level is 0.94 states/eV per atom. For the uncorrected energy, the calculation gives -3.41 eV/atom. The space group is No. 221. As for the formation energy without anion corrections: -0.4797 eV per atom.

(5)
A geometry-optimized CePu5Ir3 structure, computed with PBE.

Cell and atoms, written as extended XYZ:
```
18
Lattice="7.2186 0.3434 -0.5977 2.3065 6.8489 -0.5977 1.8667 1.4095 9.3319" Properties=species:S:1:pos:R:3 pbc="T T T"
Pu 7.3839 5.5755 -0.5214
Pu 4.4023 3.3242 3.8589
Ir 5.4737 4.1331 6.4669
Pu 8.1002 2.8868 1.8959
Ir 7.8489 5.9266 6.7247
Pu 5.6301 2.4472 -0.5977
Ir 0.9333 0.7047 4.6660
Pu 3.8950 4.7451 -0.5977
Ir 0.0000 0.0000 0.0000
Ce 2.7350 2.0652 6.2477
Ir 3.5429 2.6752 1.4119
Pu 3.2915 5.7150 6.2407
Pu 4.9940 7.0005 1.8959
Pu 6.3977 1.6013 6.2407
Ir 5.9181 4.4687 1.6696
Pu 6.9894 5.2776 4.2777
Ce 8.6567 6.5366 1.8889
Pu 4.0078 3.0263 8.6580
```

Properties
Its formation energy is -134 kJ/mol of formula units. The density of states at the Fermi level is 4.29 states/eV per atom. For the uncorrected energy, the calculation gives -11.73 eV/atom. The space group is No. 12.

(6)
A geometry-optimized AcNd3 structure, computed with PBE.

Cell and atoms, written as extended XYZ:
```
4
Lattice="5.3050 0.0000 0.0000 0.0000 5.3050 0.0000 0.0000 0.0000 5.3050" Properties=species:S:1:pos:R:3 pbc="T T T"
Nd 2.6525 2.6525 0.0000
Nd 0.0000 2.6525 2.6525
Ac 0.0000 0.0000 0.0000
Nd 2.6525 0.0000 2.6525
```

Properties
Its formation energy is 9 kJ/mol of formula units. The density of states at the Fermi level is 1.69 states/eV per atom. For the uncorrected energy, the calculation gives -4.58 eV/atom. The space group is No. 221.

(7)
A geometry-optimized Ir2RuPt structure, computed with PBE.

Cell and atoms, written as extended XYZ:
```
4
Lattice="-0.5312 1.5688 2.1893 2.9060 -1.7020 1.9247 3.4826 3.8124 -1.8869" Properties=species:S:1:pos:R:3 pbc="T T T"
Ir 3.4692 3.7978 -1.8797
Pt 1.7485 1.9142 -0.9474
Ru 3.8291 2.8254 0.6256
Ir 2.0343 0.8606 1.5981
```

Properties
Its formation energy is 10 kJ/mol of formula units. Its polymorph energy (0 for the lowest one) is 1.04 kcal/mol of atoms. The density of states at the Fermi level is 1.22 states/eV per atom. For the uncorrected energy, the calculation gives -8.23 eV/atom. The space group is No. 25.

(8)
A geometry-optimized Ga6Ag5 structure, computed with PBE.

Cell and atoms, written as extended XYZ:
```
11
Lattice="-0.7494 -4.5269 5.7537 -3.6551 -7.5681 -1.7241 2.9392 -3.0077 1.3721" Properties=species:S:1:pos:R:3 pbc="T T T"
Ag -0.7920 -6.8185 0.9165
Ag -1.4001 -3.9215 1.4387
Ga -0.8549 -5.6824 3.4980
Ga 1.5280 -5.7194 5.5047
Ag -0.6734 -8.2843 4.4852
Ag -3.0045 -8.1735 2.5909
Ga -0.6105 -9.4203 1.9036
Ag 1.0949 -3.7673 3.5629
Ga 0.6617 -1.8152 1.6210
Ga 1.2039 -4.8288 1.0460
Ga -2.6693 -10.2739 4.3557
```

Properties
Its formation energy is 42 kJ/mol of formula units. Its polymorph energy (0 for the lowest one) is 0.12 kcal/mol of atoms. The density of states at the Fermi level is 0.30 states/eV per atom. For the uncorrected energy, the calculation gives -2.91 eV/atom. The space group is No. 12.

(9)
A geometry-optimized Np3TiS2O6 structure, computed with PBE.

Cell and atoms, written as extended XYZ:
```
12
Lattice="5.3197 0.0000 0.7211 0.0000 6.7645 0.0000 0.2744 -3.3823 5.6911" Properties=species:S:1:pos:R:3 pbc="T T T"
Np 2.7971 1.6911 3.2061
Ti 2.6598 0.0000 0.3606
S 0.9450 3.3823 2.4220
O 3.7757 1.6680 1.2712
O 1.8184 1.7143 5.1411
Np 0.0000 3.3823 0.0000
O 3.7757 5.0965 1.2712
S 4.6491 0.0000 3.9902
O 1.9044 0.0000 2.1429
Np 2.7971 -1.6911 3.2061
O 3.6897 3.3823 4.2693
O 1.8184 -1.7143 5.1411
```

Properties
The density of states at the Fermi level is 1.73 states/eV per atom. For the uncorrected energy, the calculation gives -9.38 eV/atom. The space group is No. 12. As for the formation energy without anion corrections: -2.3235 eV per atom.

(10)
A geometry-optimized Li2GaGe structure, computed with PBE.

Cell and atoms, written as extended XYZ:
```
4
Lattice="-3.6745 -1.7966 0.7668 0.8102 -0.0353 3.7997 -1.6339 3.5044 0.3809" Properties=species:S:1:pos:R:3 pbc="T T T"
Li -0.8169 1.7522 0.1904
Ge -1.8373 -0.8983 0.3834
Li 0.4051 -0.0176 1.8998
Ga -2.2491 0.8363 2.4737
```

Properties
Its formation energy is -112 kJ/mol of formula units. Its polymorph energy (0 for the lowest one) is 0.00 kcal/mol of atoms. The density of states at the Fermi level is 0.23 states/eV per atom. For the uncorrected energy, the calculation gives -3.16 eV/atom. The space group is No. 123.

(11)
A geometry-optimized MgCoMo2 structure, computed with PBE.

Cell and atoms, written as extended XYZ:
```
4
Lattice="2.7022 0.0242 0.0000 -0.3680 2.6771 0.0000 0.0000 0.0000 8.3345" Properties=species:S:1:pos:R:3 pbc="T T T"
Mo 0.0000 0.0000 0.2638
Mo 0.0000 0.0000 3.9035
Mg 1.1671 1.3507 6.2509
Co 1.1671 1.3507 2.0836
```

Properties
Its formation energy is 95 kJ/mol of formula units. The density of states at the Fermi level is 1.00 states/eV per atom. For the uncorrected energy, the calculation gives -7.35 eV/atom. The space group is No. 65.

(12)
A geometry-optimized TbHo3Er3 structure, computed with PBE.

Cell and atoms, written as extended XYZ:
```
14
Lattice="5.8072 0.0000 1.8662 2.6037 5.1908 1.8662 -1.4150 -0.8733 14.3716" Properties=species:S:1:pos:R:3 pbc="T T T"
Er 2.8288 2.9361 4.4937
Ho 5.8661 2.4331 8.3461
Er 1.3686 -0.3525 12.3671
Ho 2.8469 4.1526 7.7169
Tb 4.1925 2.5874 16.8590
Tb 2.8034 1.7301 1.2450
Er 4.1671 1.3813 13.6103
Er 1.1634 3.1054 12.9870
Ho 4.1490 0.1649 10.3872
Er 5.8325 1.2121 5.1171
Ho 3.9314 3.6347 11.0054
Er 5.6273 4.6700 5.7370
Ho 3.0645 0.6828 7.0987
Ho 1.1298 1.8844 9.7579
```

Properties
Its formation energy is 96 kJ/mol of formula units. The density of states at the Fermi level is 1.37 states/eV per atom. For the uncorrected energy, the calculation gives -4.44 eV/atom. The space group is No. 148.

(13)
A geometry-optimized SrTlGa2 structure, computed with PBE.

Cell and atoms, written as extended XYZ:
```
4
Lattice="-1.8231 -0.8044 4.1634 2.5675 -3.9734 0.3567 3.5219 2.4568 2.0168" Properties=species:S:1:pos:R:3 pbc="T T T"
Ga 1.2838 -1.9867 0.1783
Sr 2.1331 -1.1605 3.2685
Tl -0.9116 -0.4022 2.0817
Ga 1.7609 1.2284 1.0084
```

Properties
Its formation energy is -74 kJ/mol of formula units. Its polymorph energy (0 for the lowest one) is 0.00 kcal/mol of atoms. The density of states at the Fermi level is 0.76 states/eV per atom. For the uncorrected energy, the calculation gives -2.72 eV/atom. The space group is No. 123.

(14)
A geometry-optimized KLaMn2 structure, computed with PBE.

Cell and atoms, written as extended XYZ:
```
4
Lattice="-4.8990 7.9087 -5.8034 -6.5498 5.1350 -7.1386 -7.6987 6.5942 -4.1802" Properties=species:S:1:pos:R:3 pbc="T T T"
Mn -9.3860 9.6265 -8.3933
K -4.7869 4.9095 -4.2805
La -14.3606 14.7284 -12.8416
Mn -0.1877 0.1925 -0.1678
```

Properties
Its formation energy is 328 kJ/mol of formula units. Its polymorph energy (0 for the lowest one) is 8.39 kcal/mol of atoms. The density of states at the Fermi level is 0.85 states/eV per atom. For the uncorrected energy, the calculation gives -5.24 eV/atom. The space group is No. 166.

(15)
A geometry-optimized Ho4Tl2Co structure, computed with PBE.

Cell and atoms, written as extended XYZ:
```
7
Lattice="4.9576 0.0000 0.0000 0.0000 4.9576 0.0000 2.4788 2.4788 8.0217" Properties=species:S:1:pos:R:3 pbc="T T T"
Tl 2.4788 2.4788 2.1934
Ho 2.4788 0.0000 0.0000
Ho 4.9576 4.9576 2.7627
Ho 2.4788 2.4788 5.2590
Tl 4.9576 4.9576 5.8283
Co 0.0000 0.0000 0.0000
Ho 0.0000 2.4788 0.0000
```

Properties
Its formation energy is -91 kJ/mol of formula units. Its polymorph energy (0 for the lowest one) is 0.78 kcal/mol of atoms. The density of states at the Fermi level is 1.17 states/eV per atom. For the uncorrected energy, the calculation gives -4.44 eV/atom. The space group is No. 139.

(16)
A geometry-optimized Ba2VCu3S6 structure, computed with PBE.

Cell and atoms, written as extended XYZ:
```
24
Lattice="-5.3876 -7.0052 -0.4548 3.5245 -8.1159 -0.1205 -1.2178 -7.4927 7.5682" Properties=species:S:1:pos:R:3 pbc="T T T"
S -1.7759 -13.1784 3.5746
S 0.7119 -15.4479 5.4926
S -1.3049 -9.4354 3.4183
Cu -0.0432 -11.3795 3.6271
S -4.5015 -14.6622 5.1926
S -1.9124 -13.1819 7.2024
Ba -1.9035 -12.7515 -0.0422
Cu -2.7203 -9.2487 1.5487
S 1.1903 -11.6092 5.4941
Cu -0.6745 -15.3511 7.2613
V -3.0796 -13.0262 5.3422
S -1.1684 -9.4319 -0.2096
S -4.0641 -11.0903 5.4014
S 0.9833 -11.5235 1.5914
S -4.2711 -11.0046 1.4988
V -0.0012 -9.5876 1.6507
S -3.7927 -7.1659 1.5002
Cu -2.4063 -7.2627 -0.2685
Ba -1.8914 -16.5753 3.7652
Ba -1.1894 -6.0386 3.2277
Cu -0.3605 -13.3651 5.4442
S 1.4206 -7.9516 1.8002
Cu -3.0376 -11.2343 3.3657
Ba -1.1774 -9.8623 7.0351
```

Properties
For the uncorrected energy, the calculation gives -5.23 eV/atom. The space group is No. 15. As for the formation energy without anion corrections: -1.0620 eV per atom.